Compound: NaNp2NbO8
Source: Alexandria
Functional: PBE-GGA
Structure: relaxed

Cell and atoms, written as extended XYZ:
```
12
Lattice="4.9509 0.0251 -0.0031 0.0671 4.9493 -0.0053 0.0045 0.0075 6.8580" Properties=species:S:1:pos:R:3 pbc="T T T"
O 1.0407 3.9692 1.4576
Np 2.5124 2.4928 5.1400
O 1.4700 1.4566 -0.0024
O 1.0434 3.9735 5.3907
O 3.3933 3.3675 3.4233
O 3.9818 1.0127 5.3920
Nb 0.0000 0.0000 0.0000
O 1.6293 1.6143 3.4263
Np 2.5101 2.4890 1.7096
Na 0.0022 0.0037 3.4290
O 3.9792 1.0083 1.4589
O 3.5525 3.5253 6.8520
```

Properties
E_form (uncorrected)	-2649	meV/atom
space-group type	No. 65
total magnetic moment	0.333	μB per atom